Record 1
VASP calculation (PBE-GGA) on a relaxed structure of Pr2Sm3Sc4.

Values from the calculation:
The value obtained for the density of states at the Fermi level is 1.533 states/eV per atom. For the formation energy from the elements, the calculation gives 0.11 eV per atom. As for the symmetry: C2/c (15).

Cell: 9.9416 9.9416 5.8697 Å, 96.40 96.40 69.79°
Atoms (fractional coordinates):
Pr  0.0013  0.7487  0.7037
Pr  0.2513  0.9987  0.7963
Pr  0.7487  0.0013  0.2037
Pr  0.9987  0.2513  0.2963
Sm  0.1331  0.8669  0.2500
Sm  0.2253  0.4572  0.3861
Sm  0.4572  0.2253  0.8861
Sm  0.5428  0.7747  0.1139
Sm  0.7747  0.5428  0.6139
Sm  0.8669  0.1331  0.7500
Sc  0.0999  0.3719  0.8446
Sc  0.3304  0.5702  0.9582
Sc  0.3719  0.0999  0.3446
Sc  0.4298  0.6696  0.5418
Sc  0.5702  0.3304  0.4582
Sc  0.6281  0.9001  0.6554
Sc  0.6696  0.4298  0.0418
Sc  0.9001  0.6281  0.1554

=====

Record 2
VASP calculation (PBE-GGA) on a relaxed structure of Pr6SmSc.

Values from the calculation:
The value obtained for the density of states at the Fermi level is 1.631 states/eV per atom. The calculation puts the polymorph energy (0 for the lowest one) at 0.0 kJ/mol of atoms. For the formation energy from the elements, the calculation gives 0.03 eV per atom. As for the symmetry: P4/mmm (123).

Cell: 5.1546 5.1546 10.3163 Å, 90.00 90.00 90.00°
Atoms (fractional coordinates):
Pr  0.0000  0.0000  0.0000
Pr  0.0000  0.0000  0.5000
Pr  0.0000  0.5000  0.2441
Pr  0.0000  0.5000  0.7559
Pr  0.5000  0.0000  0.2441
Pr  0.5000  0.0000  0.7559
Sm  0.5000  0.5000  0.5000
Sc  0.5000  0.5000  0.0000

=====

Record 3
VASP calculation (PBE-GGA) on a relaxed structure of PrSm8Sc2.

Values from the calculation:
The value obtained for the density of states at the Fermi level is 1.551 states/eV per atom. The calculation puts the polymorph energy (0 for the lowest one) at 0.0 kJ/mol of atoms. For the formation energy from the elements, the calculation gives 0.12 eV per atom. As for the symmetry: Immm (71).

Cell: 9.3056 9.3056 9.3056 Å, 145.62 126.70 64.98°
Atoms (fractional coordinates):
Pr  0.0000  0.0000  0.0000
Sm  0.1530  0.8558  0.2972
Sm  0.1626  0.6626  0.5000
Sm  0.3013  0.5000  0.8013
Sm  0.4413  0.1442  0.2972
Sm  0.5587  0.8558  0.7028
Sm  0.6987  0.5000  0.1987
Sm  0.8374  0.3374  0.5000
Sm  0.8470  0.1442  0.7028
Sc  0.3001  0.3001  0.0000
Sc  0.6999  0.6999  0.0000

=====

Record 4
VASP calculation (PBE-GGA) on a relaxed structure of Pr12Sm5Sc2.

Values from the calculation:
The value obtained for the density of states at the Fermi level is 1.619 states/eV per atom. For the formation energy from the elements, the calculation gives 0.17 eV per atom. As for the symmetry: C2/m (12).

Cell: 10.1680 10.1680 9.7539 Å, 111.76 111.76 45.71°
Atoms (fractional coordinates):
Pr  0.0142  0.0142  0.1794
Pr  0.1008  0.5872  0.0186
Pr  0.1161  0.5778  0.6366
Pr  0.4128  0.8992  0.9814
Pr  0.4222  0.8839  0.3634
Pr  0.4817  0.4817  0.3160
Pr  0.5183  0.5183  0.6840
Pr  0.5778  0.1161  0.6366
Pr  0.5872  0.1008  0.0186
Pr  0.8839  0.4222  0.3634
Pr  0.8992  0.4128  0.9814
Pr  0.9858  0.9858  0.8206
Sm  0.1865  0.1865  0.6950
Sm  0.2941  0.2941  0.2952
Sm  0.5000  0.5000  0.0000
Sm  0.7059  0.7059  0.7048
Sm  0.8135  0.8135  0.3050
Sc  0.1746  0.8254  0.5000
Sc  0.8254  0.1746  0.5000

=====

Record 5
VASP calculation (PBE-GGA) on a relaxed structure of Pr2Sm5Sc.

Values from the calculation:
The value obtained for the density of states at the Fermi level is 1.652 states/eV per atom. The calculation puts the polymorph energy (0 for the lowest one) at 0.0 kJ/mol of atoms. For the formation energy from the elements, the calculation gives 0.03 eV per atom. As for the symmetry: I4/mmm (139).

Cell: 10.7995 10.7995 10.7995 Å, 152.66 152.66 39.05°
Atoms (fractional coordinates):
Pr  0.2496  0.2496  0.0000
Pr  0.7504  0.7504  0.0000
Sm  0.0000  0.0000  0.0000
Sm  0.1204  0.6204  0.5000
Sm  0.3796  0.8796  0.5000
Sm  0.6204  0.1204  0.5000
Sm  0.8796  0.3796  0.5000
Sc  0.5000  0.5000  0.0000

=====

Record 6
VASP calculation (PBE-GGA) on a relaxed structure of Pr7Sm4Sc.

Values from the calculation:
The value obtained for the density of states at the Fermi level is 1.563 states/eV per atom. The calculation puts the polymorph energy (0 for the lowest one) at 17.4 kJ/mol of atoms. For the formation energy from the elements, the calculation gives 0.21 eV per atom. As for the symmetry: C2/m (12).

Cell: 8.8017 8.8017 9.4664 Å, 114.83 114.83 39.99°
Atoms (fractional coordinates):
Pr  0.0000  0.0000  0.0000
Pr  0.2938  0.2938  0.1304
Pr  0.2987  0.2987  0.7866
Pr  0.4222  0.4222  0.5724
Pr  0.5778  0.5778  0.4276
Pr  0.7013  0.7013  0.2134
Pr  0.7062  0.7062  0.8696
Sm  0.0753  0.0753  0.6989
Sm  0.1746  0.1746  0.3984
Sm  0.8254  0.8254  0.6016
Sm  0.9247  0.9247  0.3011
Sc  0.5000  0.5000  0.0000

=====

Record 7
VASP calculation (PBE-GGA) on a relaxed structure of PrSm12Sc3.

Values from the calculation:
The value obtained for the density of states at the Fermi level is 1.537 states/eV per atom. For the formation energy from the elements, the calculation gives 0.04 eV per atom. As for the symmetry: P4/mmm (123).

Cell: 5.0431 5.0431 20.1266 Å, 90.00 90.00 90.00°
Atoms (fractional coordinates):
Pr  0.0000  0.0000  0.0000
Sm  0.0000  0.5000  0.1309
Sm  0.0000  0.5000  0.3770
Sm  0.0000  0.5000  0.6230
Sm  0.0000  0.5000  0.8691
Sm  0.5000  0.0000  0.1309
Sm  0.5000  0.0000  0.3770
Sm  0.5000  0.0000  0.6230
Sm  0.5000  0.0000  0.8691
Sm  0.5000  0.5000  0.0000
Sm  0.5000  0.5000  0.2548
Sm  0.5000  0.5000  0.5000
Sm  0.5000  0.5000  0.7452
Sc  0.0000  0.0000  0.2539
Sc  0.0000  0.0000  0.5000
Sc  0.0000  0.0000  0.7461

=====

Record 8
VASP calculation (PBE-GGA) on a relaxed structure of Pr2Sm12Sc5.

Values from the calculation:
The value obtained for the density of states at the Fermi level is 1.474 states/eV per atom. For the formation energy from the elements, the calculation gives 0.16 eV per atom. As for the symmetry: C2/m (12).

Cell: 11.3790 11.3790 8.5423 Å, 107.47 107.47 35.71°
Atoms (fractional coordinates):
Pr  0.2476  0.7524  0.0000
Pr  0.7524  0.2476  0.0000
Sm  0.0452  0.5519  0.2075
Sm  0.0489  0.0489  0.6917
Sm  0.1364  0.6456  0.6102
Sm  0.3514  0.3514  0.9248
Sm  0.3544  0.8636  0.3898
Sm  0.4481  0.9548  0.7925
Sm  0.5519  0.0452  0.2075
Sm  0.6456  0.1364  0.6102
Sm  0.6486  0.6486  0.0752
Sm  0.8636  0.3544  0.3898
Sm  0.9511  0.9511  0.3083
Sm  0.9548  0.4481  0.7925
Sc  0.1526  0.1526  0.0981
Sc  0.2490  0.2490  0.5025
Sc  0.5000  0.5000  0.5000
Sc  0.7510  0.7510  0.4975
Sc  0.8474  0.8474  0.9019

=====

Record 9
VASP calculation (PBE-GGA) on a relaxed structure of Pr2Sm5Sc2.

Values from the calculation:
The value obtained for the density of states at the Fermi level is 1.543 states/eV per atom. The calculation puts the polymorph energy (0 for the lowest one) at 0.0 kJ/mol of atoms. For the formation energy from the elements, the calculation gives 0.04 eV per atom. As for the symmetry: C2/m (12).

Cell: 7.9621 7.9621 7.9903 Å, 107.52 107.52 36.88°
Atoms (fractional coordinates):
Pr  0.1077  0.1077  0.1639
Pr  0.8923  0.8923  0.8361
Sm  0.0000  0.0000  0.5000
Sm  0.2202  0.2202  0.8351
Sm  0.3354  0.3354  0.4970
Sm  0.6646  0.6646  0.5030
Sm  0.7798  0.7798  0.1649
Sc  0.4442  0.4442  0.1621
Sc  0.5558  0.5558  0.8379

=====

Record 10
VASP calculation (PBE-GGA) on a relaxed structure of Pr2SmSc5.

Values from the calculation:
The value obtained for the density of states at the Fermi level is 1.591 states/eV per atom. For the formation energy from the elements, the calculation gives 0.07 eV per atom. As for the symmetry: I4/mmm (139).

Cell: 6.7674 6.7674 6.7674 Å, 118.12 118.12 93.28°
Atoms (fractional coordinates):
Pr  0.0000  0.5000  0.5000
Pr  0.5000  0.0000  0.5000
Sm  0.0000  0.0000  0.0000
Sc  0.0000  0.0000  0.5000
Sc  0.0000  0.5000  0.0000
Sc  0.5000  0.0000  0.0000
Sc  0.5000  0.5000  0.0000
Sc  0.5000  0.5000  0.5000

=====

Record 11
VASP calculation (PBE-GGA) on a relaxed structure of PrSmSc2.

Values from the calculation:
The value obtained for the density of states at the Fermi level is 1.523 states/eV per atom. The calculation puts the polymorph energy (0 for the lowest one) at 0.2 kJ/mol of atoms. For the formation energy from the elements, the calculation gives 0.05 eV per atom. As for the symmetry: P4/mmm (123).

Cell: 5.0862 5.0862 4.5288 Å, 90.00 90.00 90.00°
Atoms (fractional coordinates):
Pr  0.0000  0.0000  0.0000
Sm  0.5000  0.5000  0.0000
Sc  0.0000  0.5000  0.5000
Sc  0.5000  0.0000  0.5000

=====

Record 12
VASP calculation (PBE-GGA) on a relaxed structure of Pr3Sm4Sc.

Values from the calculation:
The value obtained for the density of states at the Fermi level is 1.755 states/eV per atom. The calculation puts the polymorph energy (0 for the lowest one) at 0.0 kJ/mol of atoms. For the formation energy from the elements, the calculation gives 0.05 eV per atom. As for the symmetry: Pmn2_1 (31).

Cell: 11.6593 7.3314 6.3227 Å, 90.00 90.00 90.00°
Atoms (fractional coordinates):
Pr  0.0000  0.1250  0.0000
Pr  0.2488  0.1221  0.3319
Pr  0.2512  0.8779  0.8319
Pr  0.5000  0.8750  0.5000
Pr  0.7488  0.8779  0.8319
Pr  0.7512  0.1221  0.3319
Sm  0.0000  0.3745  0.5058
Sm  0.0000  0.6269  0.9980
Sm  0.2435  0.6267  0.3396
Sm  0.2565  0.3733  0.8396
Sm  0.5000  0.3731  0.4980
Sm  0.5000  0.6255  0.0058
Sm  0.7435  0.3733  0.8396
Sm  0.7565  0.6267  0.3396
Sc  0.0000  0.8734  0.4982
Sc  0.5000  0.1266  0.9982